# Ni3SO

A relaxed Ni3SO crystal (GGA+U, the Alexandria database).

Cell and atoms, written as POSCAR:
```
Ni3SO
1.0
-0.526 1.482 -3.662
0.681 -3.605 -1.557
-3.891 -0.831 0.223
O Ni S
1 3 1
Direct
0.000 0.000 0.000 O
0.500 0.000 0.000 Ni
0.000 0.500 0.000 Ni
0.000 0.000 0.500 Ni
0.500 0.500 0.500 S
```

Properties
Uncorrected energy   -3.355 eV/atom
Space-group type   Pm-3m, No. 221
Density   5.88 g/cm³